VASP calculation (GGA-PBE) on a geometry-optimized InRh2Se structure.

Cell: 3.189 5.140 8.458 Å, 90.00 90.00 90.00°
Space group Immm (No. 71)
Unique sites:
In 0.000 0.000 0.000
Rh 0.000 0.500 0.232
Se 0.000 0.000 0.500

Calculated values
As for the uncorrected formation energy: 0.040 eV per atom. The calculation puts the density of states at the Fermi level at 5.37 states/eV/f.u. The calculated total energy is -5.192 eV per atom.

VASP calculation (GGA-PBE) on a geometry-optimized La6Tc2I3N structure.

Cell: 7.119 12.192 8.521 Å, 90.00 104.88 90.00°
Space group C2/m (No. 12)
Unique sites:
La 0.219 0.000 0.306
La 0.231 0.157 0.672
Tc 0.000 0.371 0.500
I 0.000 0.177 0.000
I 0.000 0.500 0.000
N 0.000 0.000 0.500

Calculated values
As for the uncorrected formation energy: -0.774 eV per atom. The calculation puts the density of states at the Fermi level at 5.66 states/eV/f.u. The calculated total energy is -6.047 eV per atom.

VASP calculation (GGA-PBE) on a geometry-optimized MgCr2Os structure.

Cell: 4.328 4.328 2.989 Å, 90.00 90.00 90.00°
Space group P4/mmm (No. 123)
Unique sites:
Mg 0.000 0.000 0.000
Cr 0.000 0.500 0.500
Os 0.500 0.500 0.000

Calculated values
For the energy of formation, the calculation gives 0.3526 eV per atom. The calculation puts the density of states at the Fermi level at 3.01 states/eV/f.u. The calculated total energy is -7.665 eV per atom.

VASP calculation (GGA-PBE) on a geometry-optimized TlSn6Pb12 structure.

Cell: 14.7253 14.7253 9.9653 Å, 90.00 90.00 120.00°
Space group R-3m (No. 166, hexagonal axes)
Unique sites:
Tl 0.0000 0.0000 0.0000
Sn 0.0728 0.5364 0.2278
Pb 0.0000 0.3845 0.5000
Pb 0.0801 0.1603 0.2640

Calculated values
For the energy of formation, the calculation gives 0.1065 eV per atom. The calculation puts the density of states at the Fermi level at 10.87 states/eV/f.u. The calculated total energy is -3.624 eV per atom.

VASP calculation (GGA-PBE) on a geometry-optimized LiCeHo2In4 structure.

Cell: 5.2115 5.2115 26.5243 Å, 90.00 90.00 120.00°
Space group R-3m (No. 166, hexagonal axes)
Unique sites:
Li 0.0000 0.0000 0.0000
Ce 0.0000 0.0000 0.5000
Ho 0.0000 0.0000 0.2540
In 0.0000 0.0000 0.1214
In 0.0000 0.0000 0.3723

Calculated values
For the energy of formation, the calculation gives -0.3739 eV per atom. The calculation puts the density of states at the Fermi level at 8.72 states/eV/f.u. The calculated total energy is -3.868 eV per atom.

VASP calculation (GGA-PBE) on a geometry-optimized Dy7Tm2Th3 structure.

Cell: 6.087 5.487 12.070 Å, 90.00 91.47 90.00°
Space group P2/m (No. 10)
Unique sites:
Dy 0.000 0.000 0.000
Dy 0.079 0.500 0.173
Dy 0.239 0.500 0.455
Dy 0.439 0.000 0.183
Tm 0.391 0.500 0.723
Th 0.066 0.000 0.645
Th 0.500 0.500 0.000

Calculated values
For the energy of formation, the calculation gives 0.3386 eV per atom. The calculation puts the density of states at the Fermi level at 19.13 states/eV/f.u. The calculated total energy is -4.946 eV per atom.

VASP calculation (GGA-PBE) on a geometry-optimized Rb3Dy2ErS6 structure.

Cell: 7.045 12.204 8.037 Å, 90.00 106.99 90.00°
Space group C2/m (No. 12)
Unique sites:
Rb 0.000 0.000 0.000
Rb 0.000 0.333 0.000
Dy 0.000 0.167 0.500
Er 0.000 0.500 0.500
S 0.229 0.334 0.691
S 0.233 0.000 0.691

Calculated values
As for the uncorrected formation energy: -1.855 eV per atom. The calculation puts the density of states at the Fermi level at 0.00 states/eV/f.u. The calculated total energy is -5.308 eV per atom.

VASP calculation (GGA-PBE) on a geometry-optimized Tb4ErN5 structure.

Cell: 7.790 7.790 4.928 Å, 90.00 90.00 90.00°
Space group I4/m (No. 87)
Unique sites:
Tb 0.100 0.701 0.000
Er 0.000 0.000 0.500
N 0.000 0.000 0.000
N 0.099 0.703 0.500

Calculated values
As for the uncorrected formation energy: -1.685 eV per atom. The calculation puts the density of states at the Fermi level at 0.41 states/eV/f.u. The calculated total energy is -8.156 eV per atom.